<P>
## ZnCdGa2 (PBE-GGA)

Data for a relaxed structure of ZnCdGa2.

SG: P4/mmm

Geometry as POSCAR:
```
ZnCdGa2
1.0
4.2152 0.0000 0.0000
0.0000 4.2152 0.0000
0.0000 0.0000 4.3526
Zn Cd Ga
1 1 2
direct
0.0000 0.0000 0.0000
0.5000 0.5000 0.0000
0.0000 0.5000 0.5000
0.5000 0.0000 0.5000
```

<Q>
## ZnCdGa2 (PBE-GGA)

Data for a relaxed structure of ZnCdGa2.

SG: R3m

Geometry as POSCAR:
```
ZnCdGa2
1.0
2.1452 1.2385 5.1565
-2.1452 1.2385 5.1565
0.0000 -2.4770 5.1565
Zn Cd Ga
1 1 2
direct
0.0000 0.0000 0.0000
0.8171 0.8171 0.8171
0.3868 0.3868 0.3868
0.5948 0.5948 0.5948
```

Least stable: <Q>

<P>
## Zn2CdGa2 (PBE-GGA)

Data for a relaxed structure of Zn2CdGa2.

SG: I4/mmm

Geometry as POSCAR:
```
Zn2CdGa2
1.0
-1.9632 1.9632 6.1234
1.9632 -1.9632 6.1234
1.9632 1.9632 -6.1234
Zn Cd Ga
2 1 2
direct
0.1010 0.1010 0.0000
0.8990 0.8990 0.0000
0.5000 0.5000 0.0000
0.2500 0.7500 0.5000
0.7500 0.2500 0.5000
```

<Q>
## Zn2CdGa2 (PBE-GGA)

Data for a relaxed structure of Zn2CdGa2.

SG: P4/mbm

Geometry as POSCAR:
```
Zn2CdGa2
1.0
7.4527 0.0000 0.0000
0.0000 7.4527 0.0000
0.0000 0.0000 3.3973
Zn Cd Ga
4 2 4
direct
0.1234 0.3766 0.0000
0.3766 0.8766 0.0000
0.6234 0.1234 0.0000
0.8766 0.6234 0.0000
0.0000 0.0000 0.0000
0.5000 0.5000 0.0000
0.1771 0.6771 0.5000
0.3229 0.1771 0.5000
0.6771 0.8229 0.5000
0.8229 0.3229 0.5000
```

<R>
## Zn2CdGa2 (PBE-GGA)

Data for a relaxed structure of Zn2CdGa2.

SG: P4/mbm

Geometry as POSCAR:
```
Zn2CdGa2
1.0
8.1220 0.0000 0.0000
0.0000 8.1220 0.0000
0.0000 0.0000 2.8457
Zn Cd Ga
4 2 4
direct
0.1699 0.3301 0.0000
0.3301 0.8301 0.0000
0.6699 0.1699 0.0000
0.8301 0.6699 0.0000
0.0000 0.0000 0.5000
0.5000 0.5000 0.5000
0.1272 0.6272 0.5000
0.3728 0.1272 0.5000
0.6272 0.8728 0.5000
0.8728 0.3728 0.5000
```

Least stable: <Q>

<P>
## Zn2CdGa3 (PBE-GGA)

Data for a relaxed structure of Zn2CdGa3.

SG: R-3m

Geometry as POSCAR:
```
Zn2CdGa3
1.0
3.0435 1.7572 6.9798
-3.0435 1.7572 6.9798
0.0000 -3.5143 6.9798
Zn Cd Ga
4 2 6
direct
0.0000 0.0000 0.0000
0.0000 0.5000 0.5000
0.5000 0.0000 0.5000
0.5000 0.5000 0.0000
0.2213 0.2213 0.2213
0.7787 0.7787 0.7787
0.2381 0.7211 0.7211
0.2789 0.2789 0.7619
0.2789 0.7619 0.2789
0.7211 0.2381 0.7211
0.7211 0.7211 0.2381
0.7619 0.2789 0.2789
```

<Q>
## Zn2CdGa3 (PBE-GGA)

Data for a relaxed structure of Zn2CdGa3.

SG: Immm

Geometry as POSCAR:
```
Zn2CdGa3
1.0
-2.0376 4.3210 6.4839
2.0376 -4.3210 6.4839
2.0376 4.3210 -6.4839
Zn Cd Ga
4 2 6
direct
0.1908 0.1908 0.0000
0.3518 0.5000 0.8518
0.6482 0.5000 0.1482
0.8092 0.8092 0.0000
0.3688 0.8688 0.5000
0.6312 0.1312 0.5000
0.0351 0.3197 0.7154
0.1561 0.0000 0.1561
0.3958 0.6803 0.7154
0.6042 0.3197 0.2846
0.8439 0.0000 0.8439
0.9649 0.6803 0.2846
```

Least stable: <P>

<P>
## Zn4CdGa (PBE-GGA)

Data for a relaxed structure of Zn4CdGa.

SG: F-43m

Geometry as POSCAR:
```
Zn4CdGa
1.0
0.0000 3.7287 3.7287
3.7287 0.0000 3.7287
3.7287 3.7287 0.0000
Zn Cd Ga
4 1 1
direct
0.1251 0.1251 0.1251
0.1251 0.1251 0.6247
0.1251 0.6247 0.1251
0.6247 0.1251 0.1251
0.5000 0.5000 0.5000
0.7500 0.7500 0.7500
```

<Q>
## Zn4CdGa (PBE-GGA)

Data for a relaxed structure of Zn4CdGa.

SG: Cmcm

Geometry as POSCAR:
```
Zn4CdGa
1.0
1.9898 -7.7495 0.0000
1.9898 7.7495 0.0000
0.0000 0.0000 6.9462
Zn Cd Ga
8 2 2
direct
0.0000 0.0000 0.0000
0.0000 0.0000 0.5000
0.1657 0.8343 0.5592
0.1657 0.8343 0.9408
0.4275 0.5725 0.2500
0.5725 0.4275 0.7500
0.8343 0.1657 0.0592
0.8343 0.1657 0.4408
0.3950 0.6050 0.7500
0.6050 0.3950 0.2500
0.2530 0.7470 0.2500
0.7470 0.2530 0.7500
```

Least stable: <Q>

<P>
## ZrCdGa3 (PBE-GGA)

Data for a relaxed structure of ZrCdGa3.

SG: Pm-3m

Geometry as POSCAR:
```
ZrCdGa3
1.0
5.2780 0.0000 0.0000
0.0000 5.2780 0.0000
0.0000 0.0000 5.2780
Zr Cd Ga
1 1 3
direct
0.0000 0.0000 0.0000
0.5000 0.5000 0.5000
0.0000 0.0000 0.5000
0.0000 0.5000 0.0000
0.5000 0.0000 0.0000
```

<Q>
## ZrCdGa3 (PBE-GGA)

Data for a relaxed structure of ZrCdGa3.

SG: Pm-3m

Geometry as POSCAR:
```
ZrCdGa3
1.0
4.9639 0.0000 0.0000
0.0000 4.9639 0.0000
0.0000 0.0000 4.9639
Zr Cd Ga
1 1 3
direct
0.0000 0.0000 0.0000
0.5000 0.5000 0.5000
0.0000 0.5000 0.5000
0.5000 0.0000 0.5000
0.5000 0.5000 0.0000
```

Least stable: <Q>

<P>
## GdCd2Ge (PBE-GGA)

Data for a relaxed structure of GdCd2Ge.

SG: P4/mmm

Geometry as POSCAR:
```
GdCd2Ge
1.0
4.3004 0.0000 0.0000
0.0000 4.3004 0.0000
0.0000 0.0000 4.9310
Gd Cd Ge
1 2 1
direct
0.0000 0.0000 0.0000
0.0000 0.5000 0.5000
0.5000 0.0000 0.5000
0.5000 0.5000 0.0000
```

<Q>
## GdCd2Ge (PBE-GGA)

Data for a relaxed structure of GdCd2Ge.

SG: R-3m

Geometry as POSCAR:
```
GdCd2Ge
1.0
1.6224 0.9367 11.0511
-1.6224 0.9367 11.0511
0.0000 -1.8734 11.0511
Gd Cd Ge
1 2 1
direct
0.0000 0.0000 0.0000
0.0948 0.0948 0.0948
0.9052 0.9052 0.9052
0.5000 0.5000 0.5000
```

Least stable: <Q>